[1]
An optimized crystal structure of Pa2ReSi4Pt3, computed with PBE.

```
data_Pa2ReSi4Pt3
_chemical_formula_sum 'Pa2 Re1 Si4 Pt3'
_cell_length_a 4.1990
_cell_length_b 4.1990
_cell_length_c 9.7962
_cell_angle_alpha 90.00
_cell_angle_beta 90.00
_cell_angle_gamma 90.00
_space_group_name_H-M_alt 'P 1'
_space_group_IT_number 1
loop_
_space_group_symop_operation_xyz
'x,y,z'
loop_
_atom_site_label
_atom_site_type_symbol
_atom_site_fract_x
_atom_site_fract_y
_atom_site_fract_z
_atom_site_occupancy
Pa1 Pa 0.0000 0.5000 0.2448 1
Pa2 Pa 0.5000 0.0000 0.7552 1
Re1 Re 0.5000 0.5000 0.0000 1
Si1 Si 0.0000 0.0000 0.5000 1
Si2 Si 0.0000 0.5000 0.8668 1
Si3 Si 0.5000 0.0000 0.1332 1
Si4 Si 0.5000 0.5000 0.5000 1
Pt1 Pt 0.0000 0.0000 0.0000 1
Pt2 Pt 0.0000 0.5000 0.6223 1
Pt3 Pt 0.5000 0.0000 0.3777 1
```

Output
The uncorrected formation energy comes out at -0.89 eV/atom. As for the density: 12.94 Mg/m³.

=====

[2]
An optimized crystal structure of Cs12KAg5, computed with PBE.

```
data_Cs12KAg5
_chemical_formula_sum 'Cs12 K1 Ag5'
_cell_length_a 11.8218
_cell_length_b 11.8218
_cell_length_c 11.8218
_cell_angle_alpha 112.42
_cell_angle_beta 109.65
_cell_angle_gamma 106.40
_space_group_name_H-M_alt 'P 1'
_space_group_IT_number 1
loop_
_space_group_symop_operation_xyz
'x,y,z'
loop_
_atom_site_label
_atom_site_type_symbol
_atom_site_fract_x
_atom_site_fract_y
_atom_site_fract_z
_atom_site_occupancy
Cs1 Cs 0.0027 0.1973 0.8053 1
Cs2 Cs 0.1736 0.2993 0.4729 1
Cs3 Cs 0.1736 0.7007 0.8744 1
Cs4 Cs 0.3209 0.0013 0.6804 1
Cs5 Cs 0.3209 0.6405 0.3196 1
Cs6 Cs 0.3920 0.1973 0.1947 1
Cs7 Cs 0.6080 0.8027 0.8053 1
Cs8 Cs 0.6791 0.3594 0.6804 1
Cs9 Cs 0.6791 0.9987 0.3196 1
Cs10 Cs 0.8264 0.2993 0.1256 1
Cs11 Cs 0.8264 0.7007 0.5271 1
Cs12 Cs 0.9973 0.8027 0.1947 1
K1 K 0.5000 0.5000 0.0000 1
Ag1 Ag 0.0000 0.0000 0.0000 1
Ag2 Ag 0.1017 0.6017 0.5000 1
Ag3 Ag 0.3927 0.0000 0.3927 1
Ag4 Ag 0.6073 0.0000 0.6073 1
Ag5 Ag 0.8983 0.3983 0.5000 1
```

Output
As for the density: 2.85 Mg/m³. The value obtained for the formation energy is 48 kJ/mol of formula units.

=====

[3]
An optimized crystal structure of Hf2VZnCo, computed with PBE.

```
data_Hf2VZnCo
_chemical_formula_sum 'Hf2 V1 Zn1 Co1'
_cell_length_a 4.9035
_cell_length_b 4.9035
_cell_length_c 4.0651
_cell_angle_alpha 90.00
_cell_angle_beta 90.00
_cell_angle_gamma 90.00
_space_group_name_H-M_alt 'P 1'
_space_group_IT_number 1
loop_
_space_group_symop_operation_xyz
'x,y,z'
loop_
_atom_site_label
_atom_site_type_symbol
_atom_site_fract_x
_atom_site_fract_y
_atom_site_fract_z
_atom_site_occupancy
Hf1 Hf 0.0000 0.5000 0.0000 1
Hf2 Hf 0.5000 0.0000 0.0000 1
V1 V 0.0000 0.0000 0.0000 1
Zn1 Zn 0.5000 0.5000 0.5000 1
Co1 Co 0.0000 0.0000 0.5000 1
```

Output
As for the density: 9.04 Mg/m³. The value obtained for the formation energy is 363 kJ/mol of formula units.

=====

[4]
An optimized crystal structure of Li5Th3Cl12, computed with PBE.

```
data_Li5Th3Cl12
_chemical_formula_sum 'Li20 Th12 Cl48'
_cell_length_a 13.2604
_cell_length_b 13.2604
_cell_length_c 13.2604
_cell_angle_alpha 109.47
_cell_angle_beta 109.47
_cell_angle_gamma 109.47
_space_group_name_H-M_alt 'P 1'
_space_group_IT_number 1
loop_
_space_group_symop_operation_xyz
'x,y,z'
loop_
_atom_site_label
_atom_site_type_symbol
_atom_site_fract_x
_atom_site_fract_y
_atom_site_fract_z
_atom_site_occupancy
Li1 Li 0.0000 0.0000 0.0000 1
Li2 Li 0.0000 0.0000 0.5000 1
Li3 Li 0.0000 0.5000 0.0000 1
Li4 Li 0.0000 0.5000 0.5000 1
Li5 Li 0.1250 0.7500 0.8750 1
Li6 Li 0.1250 0.8750 0.2500 1
Li7 Li 0.2500 0.1250 0.8750 1
Li8 Li 0.2500 0.6250 0.3750 1
Li9 Li 0.3750 0.2500 0.6250 1
Li10 Li 0.3750 0.6250 0.7500 1
Li11 Li 0.5000 0.0000 0.0000 1
Li12 Li 0.5000 0.0000 0.5000 1
Li13 Li 0.5000 0.5000 0.0000 1
Li14 Li 0.5000 0.5000 0.5000 1
Li15 Li 0.6250 0.3750 0.2500 1
Li16 Li 0.6250 0.7500 0.3750 1
Li17 Li 0.7500 0.3750 0.6250 1
Li18 Li 0.7500 0.8750 0.1250 1
Li19 Li 0.8750 0.1250 0.7500 1
Li20 Li 0.8750 0.2500 0.1250 1
Th1 Th 0.1250 0.2500 0.3750 1
Th2 Th 0.1250 0.3750 0.7500 1
Th3 Th 0.2500 0.3750 0.1250 1
Th4 Th 0.2500 0.8750 0.6250 1
Th5 Th 0.3750 0.1250 0.2500 1
Th6 Th 0.3750 0.7500 0.1250 1
Th7 Th 0.6250 0.2500 0.8750 1
Th8 Th 0.6250 0.8750 0.7500 1
Th9 Th 0.7500 0.1250 0.3750 1
Th10 Th 0.7500 0.6250 0.8750 1
Th11 Th 0.8750 0.6250 0.2500 1
Th12 Th 0.8750 0.7500 0.6250 1
Cl1 Cl 0.0306 0.2134 0.1211 1
Cl2 Cl 0.0306 0.3172 0.9095 1
Cl3 Cl 0.0905 0.6211 0.4077 1
Cl4 Cl 0.0905 0.9694 0.6828 1
Cl5 Cl 0.0923 0.7134 0.6828 1
Cl6 Cl 0.0923 0.8789 0.4095 1
Cl7 Cl 0.1211 0.0306 0.2134 1
Cl8 Cl 0.1211 0.5905 0.9077 1
Cl9 Cl 0.1828 0.2134 0.5923 1
Cl10 Cl 0.1828 0.4694 0.5905 1
Cl11 Cl 0.2134 0.1211 0.0306 1
Cl12 Cl 0.2134 0.5923 0.1828 1
Cl13 Cl 0.2866 0.3172 0.9077 1
Cl14 Cl 0.2866 0.4694 0.3789 1
Cl15 Cl 0.3172 0.9077 0.2866 1
Cl16 Cl 0.3172 0.9095 0.0306 1
Cl17 Cl 0.3789 0.2866 0.4694 1
Cl18 Cl 0.3789 0.5923 0.9095 1
Cl19 Cl 0.4077 0.0905 0.6211 1
Cl20 Cl 0.4077 0.8172 0.7866 1
Cl21 Cl 0.4095 0.0923 0.8789 1
Cl22 Cl 0.4095 0.8172 0.5306 1
Cl23 Cl 0.4694 0.3789 0.2866 1
Cl24 Cl 0.4694 0.5905 0.1828 1
Cl25 Cl 0.5306 0.4095 0.8172 1
Cl26 Cl 0.5306 0.6211 0.7134 1
Cl27 Cl 0.5905 0.1828 0.4694 1
Cl28 Cl 0.5905 0.9077 0.1211 1
Cl29 Cl 0.5923 0.1828 0.2134 1
Cl30 Cl 0.5923 0.9095 0.3789 1
Cl31 Cl 0.6211 0.4077 0.0905 1
Cl32 Cl 0.6211 0.7134 0.5306 1
Cl33 Cl 0.6828 0.0905 0.9694 1
Cl34 Cl 0.6828 0.0923 0.7134 1
Cl35 Cl 0.7134 0.5306 0.6211 1
Cl36 Cl 0.7134 0.6828 0.0923 1
Cl37 Cl 0.7866 0.4077 0.8172 1
Cl38 Cl 0.7866 0.8789 0.9694 1
Cl39 Cl 0.8172 0.5306 0.4095 1
Cl40 Cl 0.8172 0.7866 0.4077 1
Cl41 Cl 0.8789 0.4095 0.0923 1
Cl42 Cl 0.8789 0.9694 0.7866 1
Cl43 Cl 0.9077 0.1211 0.5905 1
Cl44 Cl 0.9077 0.2866 0.3172 1
Cl45 Cl 0.9095 0.0306 0.3172 1
Cl46 Cl 0.9095 0.3789 0.5923 1
Cl47 Cl 0.9694 0.6828 0.0905 1
Cl48 Cl 0.9694 0.7866 0.8789 1
```

Output
The uncorrected formation energy comes out at -1.65 eV/atom. As for the density: 4.28 Mg/m³.

=====

[5]
An optimized crystal structure of TbDy6Y2Mg, computed with PBE.

```
data_TbDy6Y2Mg
_chemical_formula_sum 'Tb2 Dy12 Y4 Mg2'
_cell_length_a 10.8906
_cell_length_b 10.8906
_cell_length_c 6.6154
_cell_angle_alpha 94.65
_cell_angle_beta 94.65
_cell_angle_gamma 125.47
_space_group_name_H-M_alt 'P 1'
_space_group_IT_number 1
loop_
_space_group_symop_operation_xyz
'x,y,z'
loop_
_atom_site_label
_atom_site_type_symbol
_atom_site_fract_x
_atom_site_fract_y
_atom_site_fract_z
_atom_site_occupancy
Tb1 Tb 0.0089 0.9911 0.7500 1
Tb2 Tb 0.9911 0.0089 0.2500 1
Dy1 Dy 0.0826 0.5660 0.7798 1
Dy2 Dy 0.0838 0.7929 0.4653 1
Dy3 Dy 0.2071 0.9162 0.0347 1
Dy4 Dy 0.2964 0.4733 0.5233 1
Dy5 Dy 0.4340 0.9174 0.7202 1
Dy6 Dy 0.4733 0.2964 0.0233 1
Dy7 Dy 0.5267 0.7036 0.9767 1
Dy8 Dy 0.5660 0.0826 0.2798 1
Dy9 Dy 0.7036 0.5267 0.4767 1
Dy10 Dy 0.7929 0.0838 0.9653 1
Dy11 Dy 0.9162 0.2071 0.5347 1
Dy12 Dy 0.9174 0.4340 0.2202 1
Y1 Y 0.1838 0.3480 0.0066 1
Y2 Y 0.3480 0.1838 0.5066 1
Y3 Y 0.6520 0.8162 0.4934 1
Y4 Y 0.8162 0.6520 0.9934 1
Mg1 Mg 0.2938 0.7062 0.2500 1
Mg2 Mg 0.7062 0.2938 0.7500 1
```

Output
As for the density: 7.06 Mg/m³. The value obtained for the formation energy is 108 kJ/mol of formula units.

=====

[6]
An optimized crystal structure of Zn2CoOs, computed with PBE.

```
data_Zn2CoOs
_chemical_formula_sum 'Zn2 Co1 Os1'
_cell_length_a 4.9852
_cell_length_b 4.9852
_cell_length_c 4.9852
_cell_angle_alpha 146.31
_cell_angle_beta 128.89
_cell_angle_gamma 62.62
_space_group_name_H-M_alt 'P 1'
_space_group_IT_number 1
loop_
_space_group_symop_operation_xyz
'x,y,z'
loop_
_atom_site_label
_atom_site_type_symbol
_atom_site_fract_x
_atom_site_fract_y
_atom_site_fract_z
_atom_site_occupancy
Zn1 Zn 0.2385 0.2385 0.0000 1
Zn2 Zn 0.7615 0.7615 0.0000 1
Co1 Co 0.0000 0.5000 0.5000 1
Os1 Os 0.5000 0.0000 0.5000 1
```

Output
As for the density: 11.92 Mg/m³. The value obtained for the formation energy is 66 kJ/mol of formula units.